Entry from the Alexandria database: crystalline La3Zn2InPd9 at its relaxed geometry (PBE).

The value obtained for the energy of formation from the pure elements is -0.5766 eV per atom. The calculation puts the energy at -5.030 eV per atom. For the density of states at the Fermi level, the calculation gives 3.864 states/eV/f.u.

Unit cell a=5.724 b=5.724 c=11.989 alpha=90.00 beta=90.00 gamma=120.00
Sites, in units of the cell vectors:
La (0.000, 0.000, 0.000)
La (0.333, 0.667, 0.748)
La (0.667, 0.333, 0.252)
Zn (0.333, 0.667, 0.161)
Zn (0.667, 0.333, 0.839)
In (0.000, 0.000, 0.500)
Pd (0.000, 0.500, 0.000)
Pd (0.165, 0.331, 0.319)
Pd (0.165, 0.835, 0.319)
Pd (0.331, 0.165, 0.681)
Pd (0.500, 0.000, 0.000)
Pd (0.500, 0.500, 0.000)
Pd (0.669, 0.835, 0.319)
Pd (0.835, 0.165, 0.681)
Pd (0.835, 0.669, 0.681)